Computed, not measured: a relaxed NaCoOF2 crystal at the PBE with a Hubbard U level of DFT.

Cell: 3.9350 3.9350 4.2097 Å, 90.00 90.00 90.00°
Atoms (fractional coordinates):
Na: 0.0000 0.0000 0.0000
Co: 0.5000 0.5000 0.5000
O: 0.0000 0.0000 0.5000
F: 0.0000 0.5000 0.0000
F: 0.5000 0.0000 0.0000

## Properties
Uncorrected energy = -0.2535 Ry/atom
Energy relative to the lowest polymorph listed for this composition = 1406.5 meV per atom
Calculated volume = 65 Å³/f.u.
Total moment = 3.3 μB per formula unit